A geometry-optimized Pa5Cr structure. Source: the Alexandria database, functional PBE.

Properties
Total magnetic moment ... 0.00 μB per formula unit
Space group ... Cmmm
ΔE_f ... 0.10 eV per atom

Unit cell a=7.989 b=7.989 c=3.250 alpha=90.00 beta=90.00 gamma=139.35
Fractional positions:
1 Pa 0.000 0.000 0.000
2 Pa 0.176 0.824 0.500
3 Pa 0.358 0.642 0.000
4 Pa 0.642 0.358 0.000
5 Pa 0.824 0.176 0.500
6 Cr 0.500 0.500 0.500